SbAuSe after structural relaxation, computed with PBE.

Lattice parameters (Å, degrees): 4.8301 4.8301 4.8301 60.00 60.00 60.00
Fractional coordinates of all 3 atoms:
Au 0.5000 0.5000 0.5000
Sb 0.2500 0.2500 0.2500
Se 0.0000 0.0000 0.0000

Its size of the total moment is 0.000 μB per atom. Its calculated volume is 79.68 Å³ per cell. The value obtained for the formation energy without anion corrections is 0.1718 eV/atom.

---

SbAu2Se after structural relaxation, computed with PBE.

Lattice parameters (Å, degrees): 2.9761 4.0785 7.1768 90.00 90.00 90.00
Fractional coordinates of all 4 atoms:
Au 0.0000 0.0000 0.0174
Au 0.5000 0.5000 0.2364
Sb 0.0000 0.0000 0.4521
Se 0.5000 0.5000 0.7942

Its size of the total moment is 0.000 μB per atom. Its calculated volume is 87.11 Å³ per cell. The value obtained for the formation energy without anion corrections is 0.1495 eV/atom.

---

SbAuSe2 after structural relaxation, computed with PBE.

Lattice parameters (Å, degrees): 7.0741 7.0741 7.0741 147.96 147.96 45.94
Fractional coordinates of all 4 atoms:
Au 0.5000 0.5000 0.0000
Sb 0.7500 0.2500 0.5000
Se 0.0000 0.0000 0.0000
Se 0.2500 0.7500 0.5000

Its size of the total moment is 0.000 μB per atom. Its calculated volume is 99.29 Å³ per cell. The value obtained for the formation energy without anion corrections is 0.2400 eV/atom.

---

SbAu2Se after structural relaxation, computed with PBE.

Lattice parameters (Å, degrees): 6.8362 6.8362 6.8362 34.08 34.08 34.08
Fractional coordinates of all 4 atoms:
Sb 0.2500 0.2500 0.2500
Au 0.0020 0.0020 0.0020
Au 0.4980 0.4980 0.4980
Se 0.7500 0.7500 0.7500

Its size of the total moment is 0.000 μB per atom. Its calculated volume is 89.42 Å³ per cell. The value obtained for the formation energy without anion corrections is -0.0243 eV/atom.

---

SbAu2Se after structural relaxation, computed with PBE.

Lattice parameters (Å, degrees): 3.9036 3.9020 5.6827 90.00 90.00 90.00
Fractional coordinates of all 4 atoms:
Au 0.0000 0.0000 0.0023
Au 0.0000 0.0000 0.4977
Sb 0.5000 0.5000 0.2500
Se 0.5000 0.5000 0.7500

Its size of the total moment is 0.000 μB per atom. Its calculated volume is 86.56 Å³ per cell. The value obtained for the formation energy without anion corrections is 0.1656 eV/atom.

---

SbAu2Se after structural relaxation, computed with PBE.

Lattice parameters (Å, degrees): 3.9221 2.9490 7.8546 100.86 90.00 90.00
Fractional coordinates of all 4 atoms:
Au 0.0000 0.8228 0.0187
Au 0.5000 0.4236 0.2268
Sb 0.0000 0.5554 0.4858
Se 0.5000 0.6982 0.7687

Its size of the total moment is 0.000 μB per atom. Its calculated volume is 89.22 Å³ per cell. The value obtained for the formation energy without anion corrections is 0.0237 eV/atom.

---

SbAuSe2 after structural relaxation, computed with PBE.

Lattice parameters (Å, degrees): 6.0597 6.0597 7.9891 67.71 67.71 90.00
Fractional coordinates of all 8 atoms:
Sb 0.5000 0.5000 0.0000
Sb 0.2500 0.7500 0.5000
Au 0.0000 0.0000 0.0000
Au 0.7500 0.2500 0.5000
Se 0.6464 0.1250 0.2500
Se 0.1036 0.6250 0.2500
Se 0.3750 0.3536 0.7500
Se 0.8750 0.8964 0.7500

Its size of the total moment is 0.000 μB per atom. Its calculated volume is 247.60 Å³ per cell. The value obtained for the formation energy without anion corrections is 0.0379 eV/atom.

---

SnSbAuSe after structural relaxation, computed with PBE.

Lattice parameters (Å, degrees): 4.8615 4.8615 11.3873 77.67 77.67 60.00
Fractional coordinates of all 8 atoms:
Sn 0.1063 0.1063 0.6810
Sn 0.8937 0.8937 0.3190
Sb 0.7109 0.7109 0.8674
Sb 0.2891 0.2891 0.1326
Au 0.6195 0.6195 0.1415
Au 0.3805 0.3805 0.8585
Se 0.7960 0.7960 0.6121
Se 0.2040 0.2040 0.3879

Its size of the total moment is 0.000 μB per atom. Its calculated volume is 225.88 Å³ per cell. The value obtained for the formation energy without anion corrections is -0.0894 eV/atom.

---

Th4SbAuSe2 after structural relaxation, computed with PBE.

Lattice parameters (Å, degrees): 6.1253 6.1253 7.4806 114.17 114.17 90.00
Fractional coordinates of all 8 atoms:
Th 0.9372 0.4370 0.0000
Th 0.4370 0.9372 0.0000
Th 0.1919 0.1919 0.5093
Th 0.6825 0.6825 0.4907
Sb 0.9370 0.9370 0.0000
Au 0.4371 0.4371 0.0000
Se 0.1873 0.6873 0.5000
Se 0.6873 0.1873 0.5000

Its size of the total moment is 0.000 μB per atom. Its calculated volume is 228.84 Å³ per cell. The value obtained for the formation energy without anion corrections is -1.1372 eV/atom.

---

TlSb2AuSe4 after structural relaxation, computed with PBE.

Lattice parameters (Å, degrees): 7.1918 7.2997 7.2997 52.35 60.49 60.49
Fractional coordinates of all 8 atoms:
Tl 0.0000 0.0000 0.0000
Sb 0.2050 0.2950 0.2950
Sb 0.7950 0.7050 0.7050
Au 0.5000 0.5000 0.5000
Se 0.4619 0.0976 0.6133
Se 0.1728 0.9024 0.3867
Se 0.8272 0.6133 0.0976
Se 0.5381 0.3867 0.9024

Its size of the total moment is 0.000 μB per atom. Its calculated volume is 253.63 Å³ per cell. The value obtained for the formation energy without anion corrections is -0.1219 eV/atom.

---

TlSbAu2Se4 after structural relaxation, computed with PBE.

Lattice parameters (Å, degrees): 6.7700 6.9702 6.9702 78.37 60.95 60.95
Fractional coordinates of all 8 atoms:
Tl 0.0000 0.0000 0.0000
Sb 0.0000 0.5000 0.5000
Au 0.5000 0.6738 0.3262
Au 0.5000 0.3262 0.6738
Se 0.6096 0.5078 0.8487
Se 0.3904 0.1513 0.4922
Se 0.9660 0.4922 0.1513
Se 0.0340 0.8487 0.5078

Its size of the total moment is 0.000 μB per atom. Its calculated volume is 251.08 Å³ per cell. The value obtained for the formation energy without anion corrections is -0.1531 eV/atom.

---

TlSbAuSe2 after structural relaxation, computed with PBE.

Lattice parameters (Å, degrees): 4.8165 7.4231 8.4053 98.82 90.00 90.00
Fractional coordinates of all 10 atoms:
Tl 0.1238 0.5000 0.7500
Tl 0.8762 0.5000 0.2500
Sb 0.4253 0.0000 0.2500
Sb 0.5747 0.0000 0.7500
Au 0.0000 0.0000 0.0000
Au 0.0000 0.0000 0.5000
Se 0.6665 0.7391 0.9722
Se 0.6665 0.2609 0.5278
Se 0.3335 0.7391 0.4722
Se 0.3335 0.2609 0.0278

Its size of the total moment is 0.000 μB per atom. Its calculated volume is 296.96 Å³ per cell. The value obtained for the formation energy without anion corrections is -0.1340 eV/atom.